No. 1
## LiReP2 (GGA-PBEsol)

Data for a geometry-optimized LiReP2 structure. Values from VASP.

Cell and atoms, written as Quantum ESPRESSO input:
```
&SYSTEM
  ibrav = 0, nat = 4, ntyp = 3
/
ATOMIC_SPECIES
Li 6.94 Li.upf
Re 186.21 Re.upf
P 30.97 P.upf
CELL_PARAMETERS angstrom
1.4636 0.8450 7.5710
-1.4636 0.8450 7.5710
0.0000 -1.6900 7.5710
ATOMIC_POSITIONS crystal
Li 0.0000 0.0000 0.0000
Re 0.7683 0.7683 0.7683
P 0.2474 0.2474 0.2474
P 0.5080 0.5080 0.5080
```

Output
Formation energy from the elements, eV per atom: 0.12
DFT total energy, eV/atom: -6.604
ΔE to the lowest computed polymorph, meV/atom: 0
Space-group type: R3m

No. 2
## InOsRh2 (GGA-PBEsol)

Data for a geometry-optimized InOsRh2 structure. Values from VASP.

Cell and atoms, written as Quantum ESPRESSO input:
```
&SYSTEM
  ibrav = 0, nat = 4, ntyp = 3
/
ATOMIC_SPECIES
In 114.82 In.upf
Os 190.23 Os.upf
Rh 102.91 Rh.upf
CELL_PARAMETERS angstrom
2.9234 0.0000 0.0000
0.0000 4.4938 0.0000
0.0000 0.0000 4.5824
ATOMIC_POSITIONS crystal
In 0.0000 0.0000 0.0000
Os 0.5000 0.0000 0.5000
Rh 0.0000 0.5000 0.5000
Rh 0.5000 0.5000 0.0000
```

Output
Formation energy from the elements, eV per atom: 0.32
DFT total energy, eV/atom: -7.553
Space-group type: Pmmm

No. 3
## Li2SiRh (GGA-PBEsol)

Data for a geometry-optimized Li2SiRh structure. Values from VASP.

Cell and atoms, written as Quantum ESPRESSO input:
```
&SYSTEM
  ibrav = 0, nat = 4, ntyp = 3
/
ATOMIC_SPECIES
Li 6.94 Li.upf
Si 28.09 Si.upf
Rh 102.91 Rh.upf
CELL_PARAMETERS angstrom
4.2174 -1.4550 0.0000
4.2174 1.4550 0.0000
-1.5133 0.0000 4.2448
ATOMIC_POSITIONS crystal
Li 0.0000 0.0000 0.0000
Li 0.2428 0.2428 0.8552
Si 0.7545 0.7545 0.3928
Rh 0.4834 0.4834 0.4698
```

Output
DFT total energy, eV/atom: -4.907
ΔE_f (raw), eV/atom: -0.453
Space-group type: Cm

No. 4
## CdAsP2 (GGA-PBEsol)

Data for a geometry-optimized CdAsP2 structure. Values from VASP.

Cell and atoms, written as Quantum ESPRESSO input:
```
&SYSTEM
  ibrav = 0, nat = 4, ntyp = 3
/
ATOMIC_SPECIES
Cd 112.41 Cd.upf
As 74.92 As.upf
P 30.97 P.upf
CELL_PARAMETERS angstrom
0.0000 3.2624 3.2624
3.2624 0.0000 3.2624
3.2624 3.2624 0.0000
ATOMIC_POSITIONS crystal
Cd 0.0000 0.0000 0.0000
As 0.2500 0.2500 0.2500
P 0.5000 0.5000 0.5000
P 0.7500 0.7500 0.7500
```

Output
Formation energy from the elements, eV per atom: 0.54
DFT total energy, eV/atom: -3.930
ΔE to the lowest computed polymorph, meV/atom: 76
Space-group type: F-43m

Which DOS at the Fermi energy belongs to each record? In order, 3.0 5.4 1.5 2.5 states/eV/cell.